Entry from the Alexandria database: a relaxed AcNd6Sm2 crystal (PBE).

Calculated formation energy in eV per atom: 0.101
SG: No. 12
Energy above the lowest structure with this stoichiometry in eV per atom: 0.048
Total DFT energy (no corrections) in eV/atom: -4.5829
Magnetic moment in μB per atom: 0.0000

The structure in POSCAR format:
```
AcNd6Sm2
1.0
3.170 -9.092 0.000
3.170 9.092 0.000
-2.802 0.000 5.591
Ac Nd Sm
1 6 2
Cartesian
0.000 0.000 0.000
1.700 3.197 1.022
0.388 0.000 3.790
1.838 3.197 4.569
1.700 -3.197 1.022
3.150 0.000 1.801
1.838 -3.197 4.569
1.769 6.251 2.796
1.769 -6.251 2.796
```